[1]
# HfZr2Ti, relaxed, DFT PBE
data_HfZr2Ti
_cell_length_a 3.044
_cell_length_b 4.889
_cell_length_c 5.860
_cell_angle_alpha 90.00
_cell_angle_beta 90.00
_cell_angle_gamma 90.00
_space_group_name_H-M_alt 'P m m m'
_space_group_IT_number 47
loop_
_space_group_symop_operation_xyz
'x,y,z'
'-x,-y,-z'
'-x,-y,z'
'x,y,-z'
'x,-y,-z'
'-x,y,z'
'-x,y,-z'
'x,-y,z'
loop_
_atom_site_label
_atom_site_type_symbol
_atom_site_fract_x
_atom_site_fract_y
_atom_site_fract_z
Hf1 Hf 0.000 0.000 0.000
Zr1 Zr 0.500 0.500 0.241
Ti1 Ti 0.500 0.000 0.500
# VASP energy = -8.5554 eV/atom
# DOS(E_F) = 5.0 states/eV/cell
# Energy of formation = 0.1808 eV per atom

[2]
# HfZr4Ti2, relaxed, DFT PBE
data_HfZr4Ti2
_cell_length_a 5.827
_cell_length_b 7.473
_cell_length_c 7.876
_cell_angle_alpha 75.87
_cell_angle_beta 77.07
_cell_angle_gamma 67.26
_space_group_name_H-M_alt 'P 1'
_space_group_IT_number 1
loop_
_space_group_symop_operation_xyz
'x,y,z'
loop_
_atom_site_label
_atom_site_type_symbol
_atom_site_fract_x
_atom_site_fract_y
_atom_site_fract_z
Hf1 Hf 0.000 0.000 0.000
Hf2 Hf 0.476 0.789 0.749
Zr1 Zr 0.102 0.559 0.818
Zr2 Zr 0.231 0.220 0.625
Zr3 Zr 0.347 0.517 0.143
Zr4 Zr 0.417 0.135 0.983
Zr5 Zr 0.602 0.060 0.330
Zr6 Zr 0.723 0.708 0.125
Zr7 Zr 0.845 0.031 0.642
Zr8 Zr 0.929 0.620 0.468
Ti1 Ti 0.217 0.884 0.333
Ti2 Ti 0.508 0.498 0.491
Ti3 Ti 0.709 0.386 0.820
Ti4 Ti 0.979 0.283 0.272
# VASP energy = -8.4545 eV/atom
# DOS(E_F) = 17.0 states/eV/cell
# Energy of formation = 0.1078 eV per atom

[3]
# HfZr2Ti, relaxed, DFT PBE
data_HfZr2Ti
_cell_length_a 6.978
_cell_length_b 6.978
_cell_length_c 6.978
_cell_angle_alpha 90.00
_cell_angle_beta 90.00
_cell_angle_gamma 90.00
_space_group_name_H-M_alt 'F m -3 m'
_space_group_IT_number 225
_space_group_name_Hall '-F 4 2 3'
loop_
_atom_site_label
_atom_site_type_symbol
_atom_site_fract_x
_atom_site_fract_y
_atom_site_fract_z
Hf1 Hf 0.000 0.000 0.000
Zr1 Zr 0.250 0.250 0.250
Ti1 Ti 0.000 0.000 0.500
# VASP energy = -8.5955 eV/atom
# DOS(E_F) = 29.8 states/eV/cell
# Energy of formation = 0.1407 eV per atom

[4]
# HfZrTi2, relaxed, DFT PBE
data_HfZrTi2
_cell_length_a 7.439
_cell_length_b 7.439
_cell_length_c 5.893
_cell_angle_alpha 90.00
_cell_angle_beta 90.00
_cell_angle_gamma 90.00
_space_group_name_H-M_alt 'I -4 2 d'
_space_group_IT_number 122
_space_group_name_Hall 'I -4 2bw'
loop_
_atom_site_label
_atom_site_type_symbol
_atom_site_fract_x
_atom_site_fract_y
_atom_site_fract_z
Hf1 Hf 0.000 0.000 0.000
Zr1 Zr 0.000 0.000 0.500
Ti1 Ti 0.249 0.750 0.625
# VASP energy = -8.0431 eV/atom
# DOS(E_F) = 23.1 states/eV/cell
# Energy of formation = 0.5298 eV per atom

What is the formula in the first record?
HfZr2Ti

Please write out number 2 again, unchanged.
# HfZr4Ti2, relaxed, DFT PBE
data_HfZr4Ti2
_cell_length_a 5.827
_cell_length_b 7.473
_cell_length_c 7.876
_cell_angle_alpha 75.87
_cell_angle_beta 77.07
_cell_angle_gamma 67.26
_space_group_name_H-M_alt 'P 1'
_space_group_IT_number 1
loop_
_space_group_symop_operation_xyz
'x,y,z'
loop_
_atom_site_label
_atom_site_type_symbol
_atom_site_fract_x
_atom_site_fract_y
_atom_site_fract_z
Hf1 Hf 0.000 0.000 0.000
Hf2 Hf 0.476 0.789 0.749
Zr1 Zr 0.102 0.559 0.818
Zr2 Zr 0.231 0.220 0.625
Zr3 Zr 0.347 0.517 0.143
Zr4 Zr 0.417 0.135 0.983
Zr5 Zr 0.602 0.060 0.330
Zr6 Zr 0.723 0.708 0.125
Zr7 Zr 0.845 0.031 0.642
Zr8 Zr 0.929 0.620 0.468
Ti1 Ti 0.217 0.884 0.333
Ti2 Ti 0.508 0.498 0.491
Ti3 Ti 0.709 0.386 0.820
Ti4 Ti 0.979 0.283 0.272
# VASP energy = -8.4545 eV/atom
# DOS(E_F) = 17.0 states/eV/cell
# Energy of formation = 0.1078 eV per atom

VASP energy of number 1 (HfZr2Ti)?
-8.5554 eV/atom